1.
Cu8Ni3 | PBE-GGA | optimized geometry

Energy above the lowest structure with this stoichiometry (eV per atom): 0.017
DFT formation energy (eV per atom): 0.55

```
data_Cu8Ni3
_chemical_formula_sum 'Cu24 Ni9'
_cell_length_a 7.6275
_cell_length_b 7.6275
_cell_length_c 8.8358
_cell_angle_alpha 90.00
_cell_angle_beta 90.00
_cell_angle_gamma 120.00
_symmetry_space_group_name_H-M 'R -3'
_symmetry_Int_Tables_number 148
_symmetry_space_group_name_Hall '-R 3'
loop_
_atom_site_label
_atom_site_type_symbol
_atom_site_fract_x
_atom_site_fract_y
_atom_site_fract_z
Cu1 Cu 0.0000 0.0000 0.1363
Cu2 Cu 0.0107 0.2041 0.3912
Ni1 Ni 0.0000 0.5000 0.5000
```

2.
LiOs4 | PBE-GGA | optimized geometry

Energy above the lowest structure with this stoichiometry (eV per atom): 0.000
DFT formation energy (eV per atom): 0.29

```
data_LiOs4
_chemical_formula_sum 'Li2 Os8'
_cell_length_a 6.020
_cell_length_b 6.020
_cell_length_c 3.826
_cell_angle_alpha 90.00
_cell_angle_beta 90.00
_cell_angle_gamma 90.00
_symmetry_space_group_name_H-M 'I 4/m'
_symmetry_Int_Tables_number 87
_symmetry_space_group_name_Hall '-I 4'
loop_
_atom_site_label
_atom_site_type_symbol
_atom_site_fract_x
_atom_site_fract_y
_atom_site_fract_z
Li1 Li 0.000 0.000 0.000
Os1 Os 0.090 0.296 0.500
```

3.
Er6ZnTe3S2 | PBE-GGA | optimized geometry

E_form (uncorrected) (eV per atom): -1.34

```
data_Er6ZnTe3S2
_chemical_formula_sum 'Er12 Zn2 Te6 S4'
_cell_length_a 7.092
_cell_length_b 12.243
_cell_length_c 7.349
_cell_angle_alpha 90.00
_cell_angle_beta 108.57
_cell_angle_gamma 90.00
_symmetry_space_group_name_H-M 'C 1 2/m 1'
_symmetry_Int_Tables_number 12
_symmetry_space_group_name_Hall '-C 2y'
loop_
_atom_site_label
_atom_site_type_symbol
_atom_site_fract_x
_atom_site_fract_y
_atom_site_fract_z
Er1 Er 0.237 0.166 0.214
Er2 Er 0.239 0.500 0.213
Zn1 Zn 0.000 0.000 0.000
Te1 Te 0.000 0.168 0.500
Te2 Te 0.000 0.500 0.500
S1 S 0.000 0.334 0.000
```

4.
ReSb2TeP | PBE-GGA | optimized geometry

Energy above the lowest structure with this stoichiometry (eV per atom): 0.000
E_form (uncorrected) (eV per atom): 0.94

```
data_ReSb2TeP
_chemical_formula_sum 'Re1 Sb2 Te1 P1'
_cell_length_a 5.188
_cell_length_b 5.188
_cell_length_c 5.053
_cell_angle_alpha 90.00
_cell_angle_beta 90.00
_cell_angle_gamma 90.00
_symmetry_space_group_name_H-M 'P 4/m m m'
_symmetry_Int_Tables_number 123
_symmetry_space_group_name_Hall '-P 4 2'
loop_
_atom_site_label
_atom_site_type_symbol
_atom_site_fract_x
_atom_site_fract_y
_atom_site_fract_z
Re1 Re 0.000 0.000 0.000
Sb1 Sb 0.000 0.500 0.000
Te1 Te 0.000 0.000 0.500
P1 P 0.500 0.500 0.500
```

5.
Cs2TbBr6 | PBE-GGA | optimized geometry

E_form (uncorrected) (eV per atom): -1.53

```
data_Cs2TbBr6
_chemical_formula_sum 'Cs4 Tb2 Br12'
_cell_length_a 4.603
_cell_length_b 15.805
_cell_length_c 9.121
_cell_angle_alpha 90.00
_cell_angle_beta 90.00
_cell_angle_gamma 90.00
_symmetry_space_group_name_H-M 'A m m 2'
_symmetry_Int_Tables_number 38
_symmetry_space_group_name_Hall 'A 2 -2'
loop_
_atom_site_label
_atom_site_type_symbol
_atom_site_fract_x
_atom_site_fract_y
_atom_site_fract_z
Cs1 Cs 0.000 0.167 0.000
Tb1 Tb 0.500 0.000 0.501
Br1 Br 0.000 0.000 0.722
Br2 Br 0.000 0.111 0.390
Br3 Br 0.500 0.000 0.170
Br4 Br 0.500 0.166 0.665
```

6.
BaCdRe2 | PBE-GGA | optimized geometry

DFT formation energy (eV per atom): 1.15

```
data_BaCdRe2
_chemical_formula_sum 'Ba1 Cd1 Re2'
_cell_length_a 3.659
_cell_length_b 3.659
_cell_length_c 7.260
_cell_angle_alpha 90.00
_cell_angle_beta 90.00
_cell_angle_gamma 90.00
_symmetry_space_group_name_H-M 'P 4/m m m'
_symmetry_Int_Tables_number 123
_symmetry_space_group_name_Hall '-P 4 2'
loop_
_atom_site_label
_atom_site_type_symbol
_atom_site_fract_x
_atom_site_fract_y
_atom_site_fract_z
Ba1 Ba 0.000 0.000 0.000
Cd1 Cd 0.000 0.000 0.500
Re1 Re 0.500 0.500 0.341
```